[1]
Compound: NaCaNi3
Source: Alexandria via LeMat-Bulk
Functional: SCAN
Structure: PBEsol geometry

Properties
Density of states at the Fermi level in states/eV per atom: 0.751
Total magnetization in μB per atom: 0.268
Formation enthalpy at 0 K in eV/atom: 1.46

Cell lengths 4.644, 4.644, 4.644 Å; angles 90.00, 90.00, 90.00 degrees
Space group Pm-3m (No. 221)
Symmetry-distinct sites (fractional):
Na  0.000  0.000  0.000 (multiplicity 1)
Ca  0.500  0.500  0.500 (multiplicity 1)
Ni  0.000  0.500  0.500 (multiplicity 3)


[2]
Compound: NaCa3Ni
Source: Alexandria via LeMat-Bulk
Functional: SCAN
Structure: PBEsol geometry

Properties
Density of states at the Fermi level in states/eV per atom: 0.439
Total magnetization in μB per atom: 0.000
Formation enthalpy at 0 K in eV/atom: -0.02

Cell lengths 5.469, 5.469, 5.469 Å; angles 90.00, 90.00, 90.00 degrees
Space group Pm-3m (No. 221)
Symmetry-distinct sites (fractional):
Na  0.000  0.000  0.000 (multiplicity 1)
Ca  0.000  0.500  0.500 (multiplicity 3)
Ni  0.500  0.500  0.500 (multiplicity 1)


[3]
Compound: Na2CaP2O7
Source: Alexandria via LeMat-Bulk
Functional: SCAN
Structure: PBEsol geometry

Properties
Density of states at the Fermi level in states/eV per atom: 0.000
Total magnetization in μB per atom: 0.000
Final energy in eV per atom: -9.62

Cell lengths 5.401, 7.086, 8.861 Å; angles 68.99, 89.29, 89.12 degrees
Space group P-1 (No. 2)
Symmetry-distinct sites (fractional):
Na  0.231  0.206  0.013 (multiplicity 2)
Na  0.263  0.133  0.447 (multiplicity 2)
Ca  0.265  0.752  0.282 (multiplicity 2)
P  0.209  0.571  0.689 (multiplicity 2)
P  0.253  0.882  0.828 (multiplicity 2)
O  0.046  0.000  0.715 (multiplicity 2)
O  0.067  0.449  0.336 (multiplicity 2)
O  0.217  0.869  0.002 (multiplicity 2)
O  0.227  0.646  0.844 (multiplicity 2)
O  0.332  0.733  0.545 (multiplicity 2)
O  0.346  0.368  0.749 (multiplicity 2)
O  0.486  0.053  0.237 (multiplicity 2)


[4]
Compound: NaCaP2O
Source: Alexandria via LeMat-Bulk
Functional: SCAN
Structure: PBEsol geometry

Properties
Density of states at the Fermi level in states/eV per atom: 0.673
Total magnetization in μB per atom: 0.685
Final energy in eV per atom: -8.04

Cell lengths 5.355, 5.355, 4.233 Å; angles 90.00, 90.00, 90.00 degrees
Space group P4/mmm (No. 123)
Symmetry-distinct sites (fractional):
Na  0.000  0.000  0.000 (multiplicity 1)
Ca  0.500  0.500  0.500 (multiplicity 1)
P  0.000  0.500  0.500 (multiplicity 2)
O  0.500  0.500  0.000 (multiplicity 1)


[5]
Compound: Na2CaS2O8
Source: Alexandria via LeMat-Bulk
Functional: SCAN
Structure: PBEsol geometry

Properties
Density of states at the Fermi level in states/eV per atom: 0.000
Total magnetization in μB per atom: 0.000
Final energy in eV per atom: -8.96

Cell lengths 10.049, 8.282, 8.484 Å; angles 90.00, 111.52, 90.00 degrees
Space group C2/c (No. 15)
Symmetry-distinct sites (fractional):
Na  0.140  0.053  0.435 (multiplicity 8)
Ca  0.000  0.439  0.750 (multiplicity 4)
S  0.184  0.284  0.187 (multiplicity 8)
O  0.112  0.127  0.132 (multiplicity 8)
O  0.123  0.414  0.059 (multiplicity 8)
O  0.160  0.229  0.776 (multiplicity 8)
O  0.161  0.336  0.344 (multiplicity 8)


[6]
Compound: NaCaSb2O7
Source: Alexandria via LeMat-Bulk
Functional: SCAN
Structure: PBEsol geometry

Properties
Total magnetization in μB per atom: 0.092
Final energy in eV per atom: -13.89

Cell lengths 7.321, 7.341, 10.326 Å; angles 90.00, 90.00, 90.00 degrees
Space group Imma (No. 74)
Symmetry-distinct sites (fractional):
Na  0.250  0.250  0.250 (multiplicity 4)
Ca  0.000  0.000  0.000 (multiplicity 4)
Sb  0.000  0.000  0.500 (multiplicity 4)
Sb  0.250  0.250  0.750 (multiplicity 4)
O  0.000  0.250  0.117 (multiplicity 4)
O  0.000  0.250  0.426 (multiplicity 4)
O  0.000  0.250  0.827 (multiplicity 4)
O  0.203  0.053  0.623 (multiplicity 16)


[7]
Compound: NaCa2ScZn2Si6O18
Source: Alexandria via LeMat-Bulk
Functional: SCAN
Structure: PBEsol geometry

Properties
Density of states at the Fermi level in states/eV per atom: 0.000
Total magnetization in μB per atom: 0.000
Final energy in eV per atom: -10.89

Cell lengths 9.844, 26.874, 5.291 Å; angles 90.00, 106.06, 90.00 degrees
Space group C2/c (No. 15)
Symmetry-distinct sites (fractional):
Na  0.000  0.232  0.250 (multiplicity 4)
Ca  0.000  0.099  0.750 (multiplicity 4)
Ca  0.000  0.433  0.750 (multiplicity 4)
Sc  0.000  0.300  0.750 (multiplicity 4)
Zn  0.000  0.031  0.250 (multiplicity 4)
Zn  0.000  0.365  0.250 (multiplicity 4)
Si  0.211  0.135  0.263 (multiplicity 8)
Si  0.213  0.196  0.762 (multiplicity 8)
Si  0.213  0.469  0.269 (multiplicity 8)
O  0.116  0.030  0.644 (multiplicity 8)
O  0.116  0.305  0.144 (multiplicity 8)
O  0.117  0.362  0.651 (multiplicity 8)
O  0.137  0.417  0.175 (multiplicity 8)
O  0.140  0.250  0.687 (multiplicity 8)
O  0.141  0.082  0.177 (multiplicity 8)
O  0.148  0.170  0.991 (multiplicity 8)
O  0.149  0.494  0.503 (multiplicity 8)
O  0.150  0.160  0.498 (multiplicity 8)


[8]
Compound: Na3CaSc3ZnSi8O24
Source: Alexandria via LeMat-Bulk
Functional: SCAN
Structure: PBEsol geometry

Properties
Density of states at the Fermi level in states/eV per atom: 0.000
Total magnetization in μB per atom: 0.000
Final energy in eV per atom: -10.82

Cell lengths 5.337, 9.016, 9.773 Å; angles 90.00, 104.80, 90.00 degrees
Space group P2 (No. 3)
Symmetry-distinct sites (fractional):
Na  0.000  0.000  0.000 (multiplicity 1)
Na  0.000  0.106  0.500 (multiplicity 1)
Na  0.500  0.613  0.000 (multiplicity 1)
Ca  0.500  0.511  0.500 (multiplicity 1)
Sc  0.000  0.411  0.000 (multiplicity 1)
Sc  0.500  0.202  0.000 (multiplicity 1)
Sc  0.500  0.907  0.500 (multiplicity 1)
Zn  0.000  0.711  0.500 (multiplicity 1)
Si  0.198  0.399  0.709 (multiplicity 2)
Si  0.203  0.718  0.211 (multiplicity 2)
Si  0.297  0.895  0.788 (multiplicity 2)
Si  0.299  0.218  0.290 (multiplicity 2)
O  0.084  0.797  0.849 (multiplicity 2)
O  0.094  0.323  0.352 (multiplicity 2)
O  0.199  0.556  0.141 (multiplicity 2)
O  0.209  0.558  0.638 (multiplicity 2)
O  0.222  0.227  0.117 (multiplicity 2)
O  0.223  0.890  0.616 (multiplicity 2)
O  0.276  0.387  0.882 (multiplicity 2)
O  0.286  0.721  0.384 (multiplicity 2)
O  0.300  0.057  0.359 (multiplicity 2)
O  0.301  0.057  0.859 (multiplicity 2)
O  0.414  0.300  0.648 (multiplicity 2)
O  0.415  0.816  0.149 (multiplicity 2)